1.
DyZn: relaxed, PBE.

Properties
ΔE_f ... -0.053 eV per atom

Cell: 3.4761 3.4761 4.6239 Å, 90.00 90.00 120.00°
Space group P-6m2 (No. 187)
Unique sites:
1 Dy 0.0000 0.0000 0.0000 (multiplicity 1)
2 Zn 0.6667 0.3333 0.5000 (multiplicity 1)

***

2.
Dy2Zn: relaxed, PBE.

Properties
ΔE_f ... 0.474 eV per atom

Cell: 8.7454 8.7454 8.7454 Å, 90.00 90.00 90.00°
Space group Fd-3m (No. 227, origin choice 2)
Unique sites:
1 Dy 0.0000 0.0000 0.0000 (multiplicity 16)
2 Zn 0.1250 0.1250 0.6250 (multiplicity 8)

***

3.
DyZn: relaxed, PBE.

Properties
ΔE_f ... -0.219 eV per atom

Cell: 4.7957 9.1909 6.2050 Å, 90.00 90.00 90.00°
Space group Pmc2_1 (No. 26)
Unique sites:
1 Dy 0.0000 0.0296 0.0000 (multiplicity 2)
2 Dy 0.0000 0.3494 0.6723 (multiplicity 2)
3 Dy 0.5000 0.2123 0.2889 (multiplicity 2)
4 Zn 0.0000 0.3441 0.1571 (multiplicity 2)
5 Zn 0.5000 0.1390 0.7555 (multiplicity 2)
6 Zn 0.5000 0.4669 0.9547 (multiplicity 2)

***

4.
DyZn: relaxed, PBE.

Properties
ΔE_f ... 0.078 eV per atom

Cell: 6.4484 6.4484 5.3090 Å, 90.00 90.00 120.00°
Space group P-6m2 (No. 187)
Unique sites:
1 Dy 0.0000 0.0000 0.0000 (multiplicity 1)
2 Dy 0.3406 0.1703 0.5000 (multiplicity 3)
3 Zn 0.3333 0.6667 0.5000 (multiplicity 1)
4 Zn 0.5188 0.0375 0.0000 (multiplicity 3)

***

5.
DyZn: relaxed, PBE.

Properties
ΔE_f ... -0.107 eV per atom

Cell: 4.4926 8.4043 4.9248 Å, 90.00 90.00 90.00°
Space group Pmm2 (No. 25)
Unique sites:
1 Dy 0.0000 0.0000 0.0000 (multiplicity 1)
2 Dy 0.0000 0.2991 0.5144 (multiplicity 2)
3 Dy 0.5000 0.0000 0.5024 (multiplicity 1)
4 Zn 0.0000 0.5000 0.0192 (multiplicity 1)
5 Zn 0.5000 0.2489 0.9851 (multiplicity 2)
6 Zn 0.5000 0.5000 0.3050 (multiplicity 1)

***

6.
DyZn2: relaxed, PBE.

Properties
ΔE_f ... -0.101 eV per atom

Cell: 4.7299 10.1203 5.0408 Å, 90.00 90.00 90.00°
Space group Pmmn (No. 59, origin choice 2)
Unique sites:
1 Dy 0.2500 0.0831 0.1386 (multiplicity 4)
2 Zn 0.2500 0.2500 0.6436 (multiplicity 2)
3 Zn 0.2500 0.6204 0.5488 (multiplicity 4)
4 Zn 0.2500 0.7500 0.0649 (multiplicity 2)

***

7.
DyZn: relaxed, PBE.

Properties
ΔE_f ... -0.135 eV per atom

Cell: 6.6015 5.3069 5.2989 Å, 90.00 90.00 90.00°
Space group Pbcm (No. 57)
Unique sites:
1 Dy 0.1648 0.0053 0.2500 (multiplicity 4)
2 Zn 0.3824 0.5088 0.2500 (multiplicity 4)

***

8.
DyZn2: relaxed, PBE.

Properties
ΔE_f ... -0.238 eV per atom

Cell: 8.1849 4.6280 13.1237 Å, 90.00 106.98 90.00°
Space group P2_1/m (No. 11)
Unique sites:
1 Dy 0.0422 0.2500 0.2730 (multiplicity 2)
2 Dy 0.2531 0.2500 0.0703 (multiplicity 2)
3 Dy 0.3065 0.7500 0.6137 (multiplicity 2)
4 Dy 0.3994 0.7500 0.2816 (multiplicity 2)
5 Zn 0.0436 0.7500 0.1359 (multiplicity 2)
6 Zn 0.0971 0.2500 0.5137 (multiplicity 2)
7 Zn 0.1196 0.7500 0.9490 (multiplicity 2)
8 Zn 0.1339 0.7500 0.3932 (multiplicity 2)
9 Zn 0.2242 0.2500 0.7588 (multiplicity 2)
10 Zn 0.3594 0.7500 0.8455 (multiplicity 2)
11 Zn 0.3892 0.2500 0.4659 (multiplicity 2)
12 Zn 0.4769 0.7500 0.0589 (multiplicity 2)

***

9.
DyZn: relaxed, PBE.

Properties
ΔE_f ... -0.224 eV per atom

Cell: 4.8774 18.7458 4.9158 Å, 90.00 90.00 90.00°
Space group Amm2 (No. 38)
Unique sites:
1 Dy 0.0000 0.0000 0.0000 (multiplicity 2)
2 Dy 0.0000 0.1877 0.0023 (multiplicity 4)
3 Dy 0.5000 0.1738 0.5033 (multiplicity 4)
4 Zn 0.0000 0.0848 0.5000 (multiplicity 4)
5 Zn 0.5000 0.0000 0.5047 (multiplicity 2)
6 Zn 0.5000 0.0848 0.0043 (multiplicity 4)

***

10.
Dy3Zn4: relaxed, PBE.

Properties
Relative energy among the computed polymorphs ... 0 meV per atom
ΔE_f ... -0.200 eV per atom

Cell: 8.7963 8.7963 4.5735 Å, 90.00 90.00 120.00°
Space group P6_3/m (No. 176)
Unique sites:
1 Dy 0.1009 0.4404 0.2500 (multiplicity 6)
2 Zn 0.0368 0.2034 0.7500 (multiplicity 6)
3 Zn 0.3333 0.6667 0.7500 (multiplicity 2)

***

11.
DyZn: relaxed, PBE.

Properties
ΔE_f ... -0.049 eV per atom

Cell: 5.8900 5.8900 5.8900 Å, 90.00 90.00 90.00°
Space group Fm-3m (No. 225)
Unique sites:
1 Dy 0.0000 0.0000 0.0000 (multiplicity 4)
2 Zn 0.0000 0.0000 0.5000 (multiplicity 4)

***

12.
DyZn: relaxed, PBE.

Properties
ΔE_f ... -0.301 eV per atom

Cell: 6.6275 4.5733 6.0511 Å, 90.00 90.00 90.00°
Space group Pnma (No. 62)
Unique sites:
1 Dy 0.1615 0.2500 0.1330 (multiplicity 4)
2 Zn 0.0490 0.2500 0.6290 (multiplicity 4)

***

13.
DyZn: relaxed, PBE.

Properties
ΔE_f ... -0.345 eV per atom

Cell: 3.5610 3.5610 3.5610 Å, 90.00 90.00 90.00°
Space group Pm-3m (No. 221)
Unique sites:
1 Dy 0.0000 0.0000 0.0000 (multiplicity 1)
2 Zn 0.5000 0.5000 0.5000 (multiplicity 1)

***

14.
DyZn: relaxed, PBE.

Properties
ΔE_f ... 0.623 eV per atom

Cell: 6.4273 6.4273 6.4273 Å, 90.00 90.00 90.00°
Space group F-43m (No. 216)
Unique sites:
1 Dy 0.0000 0.0000 0.0000 (multiplicity 4)
2 Zn 0.2500 0.2500 0.7500 (multiplicity 4)

***

15.
Dy2Zn: relaxed, PBE.

Properties
ΔE_f ... 1.445 eV per atom

Cell: 12.2848 12.2848 12.2848 Å, 90.00 90.00 90.00°
Space group Fd-3m (No. 227, origin choice 2)
Unique sites:
1 Dy 0.0000 0.0000 0.0000 (multiplicity 16)
2 Zn 0.1250 0.1250 0.1250 (multiplicity 8)

***

16.
DyZn: relaxed, PBE.

Properties
ΔE_f ... -0.271 eV per atom

Cell: 6.8533 4.6599 17.0071 Å, 90.00 90.03 90.00°
Space group P2_1/m (No. 11)
Unique sites:
1 Dy 0.0314 0.2500 0.1163 (multiplicity 2)
2 Dy 0.0315 0.7500 0.3837 (multiplicity 2)
3 Dy 0.3391 0.2500 0.4612 (multiplicity 2)
4 Dy 0.3391 0.7500 0.0388 (multiplicity 2)
5 Dy 0.4529 0.2500 0.6667 (multiplicity 2)
6 Dy 0.4529 0.7500 0.8332 (multiplicity 2)
7 Zn 0.1464 0.2500 0.7903 (multiplicity 2)
8 Zn 0.1464 0.7500 0.7097 (multiplicity 2)
9 Zn 0.2173 0.2500 0.9399 (multiplicity 2)
10 Zn 0.2174 0.7500 0.5601 (multiplicity 2)
11 Zn 0.2402 0.2500 0.2913 (multiplicity 2)
12 Zn 0.2401 0.7500 0.2087 (multiplicity 2)

***

17.
DyZn2: relaxed, PBE.

Properties
ΔE_f ... -0.341 eV per atom

Cell: 7.6886 7.6886 7.6886 Å, 90.00 90.00 90.00°
Space group Fd-3m (No. 227, origin choice 2)
Unique sites:
1 Dy 0.1250 0.1250 0.1250 (multiplicity 8)
2 Zn 0.0000 0.0000 0.5000 (multiplicity 16)

***

18.
DyZn2: relaxed, PBE.

Properties
ΔE_f ... -0.236 eV per atom

Cell: 3.5730 13.8711 4.7154 Å, 90.00 90.00 90.00°
Space group Cmcm (No. 63)
Unique sites:
1 Dy 0.0000 0.0850 0.2500 (multiplicity 4)
2 Zn 0.0000 0.2474 0.7500 (multiplicity 4)
3 Zn 0.0000 0.3880 0.2500 (multiplicity 4)

***

19.
DyZn: relaxed, PBE.

Properties
ΔE_f ... -0.207 eV per atom

Cell: 4.4327 10.9743 5.7550 Å, 90.00 90.00 90.00°
Space group Pmc2_1 (No. 26)
Unique sites:
1 Dy 0.0000 0.0915 0.0000 (multiplicity 2)
2 Dy 0.0000 0.3991 0.7829 (multiplicity 2)
3 Dy 0.5000 0.1578 0.5188 (multiplicity 2)
4 Zn 0.0000 0.3113 0.3015 (multiplicity 2)
5 Zn 0.5000 0.2887 0.0368 (multiplicity 2)
6 Zn 0.5000 0.4355 0.4170 (multiplicity 2)

***

20.
Dy3Zn4: relaxed, PBE.

Properties
Relative energy among the computed polymorphs ... 104 meV per atom
ΔE_f ... -0.096 eV per atom

Cell: 8.2789 8.2789 5.2031 Å, 90.00 90.00 120.00°
Space group P6_3/m (No. 176)
Unique sites:
1 Dy 0.0789 0.7984 0.2500 (multiplicity 6)
2 Zn 0.1203 0.6280 0.7500 (multiplicity 6)
3 Zn 0.3333 0.6667 0.2500 (multiplicity 2)